Record 1
19
Lattice="7.907 -4.682 0.000 7.907 4.682 0.000 -0.523 0.000 8.643" Properties=species:S:1:pos:R:3 comment="GGA-PBE Pm12Pr5Cd2, relaxed" rho_g_cm3=6.9 n_ef_per_ev_cell=26.1 volume_a3_per_cell=639.9 pbc="T T T"
Pm 0.703 0.000 2.861
Pm 5.728 2.869 2.770
Pm 5.245 1.722 6.600
Pm 9.562 2.869 5.873
Pm 6.652 0.000 1.021
Pm 10.045 1.722 2.043
Pm 5.245 -1.722 6.600
Pm 8.639 0.000 7.621
Pm 5.728 -2.869 2.770
Pm 10.045 -1.722 2.043
Pm 9.562 -2.869 5.873
Pm 14.587 0.000 5.781
Pr 3.172 0.000 0.194
Pr 4.000 0.000 3.693
Pr 7.645 0.000 4.321
Pr 11.290 0.000 4.950
Pr 12.118 0.000 8.449
Cd 7.907 3.106 0.000
Cd 7.907 -3.106 0.000



Record 2
4
Lattice="2.692 0.000 0.000 0.000 4.414 0.000 -1.117 0.000 5.380" Properties=species:S:1:pos:R:3 comment="GGA-PBE CdFeW2, relaxed" rho_g_cm3=13.9 n_ef_per_ev_cell=2.6 volume_a3_per_cell=63.9 pbc="T T T"
Cd 0.000 0.000 0.000
Fe -0.559 0.000 2.690
W 0.427 2.207 3.918
W 1.147 2.207 1.462



| no. | formation energy (meV/atom) |
| --- | --- |
| 1 | 29.8 |
| 2 | 496.9 |